--- w ---
SrPtNF2: optimized geometry, PBE-GGA.

Cell and atoms, written as POSCAR:
```
SrPtNF2
1.0
4.497 0.000 0.000
0.000 4.497 0.000
0.000 0.000 5.468
Sr Pt N F
1 1 1 2
direct
0.000 0.000 0.000 Sr
0.500 0.500 0.500 Pt
0.000 0.000 0.500 N
0.000 0.500 0.000 F
0.500 0.000 0.000 F
```

Output
symmetry = P4/mmm (123)

=====

--- x ---
SrPtNF2: optimized geometry, PBE-GGA.

Cell and atoms, written as POSCAR:
```
SrPtNF2
1.0
4.050 0.000 0.000
0.000 4.050 0.000
0.000 0.000 6.399
Sr Pt N F
1 1 1 2
direct
0.000 0.000 0.000 Sr
0.000 0.000 0.500 Pt
0.500 0.500 0.000 N
0.000 0.500 0.500 F
0.500 0.000 0.500 F
```

Output
symmetry = P4/mmm (123)

=====

Relative energies in eV/atom: w 0.118; x 0.000

=====

--- w ---
TaPtN2F: optimized geometry, PBE-GGA.

Cell and atoms, written as POSCAR:
```
TaPtN2F
1.0
3.976 0.000 0.000
0.000 3.976 0.000
0.000 0.000 3.998
Ta Pt N F
1 1 2 1
direct
0.000 0.000 0.000 Ta
0.500 0.500 0.500 Pt
0.000 0.500 0.500 N
0.500 0.000 0.500 N
0.500 0.500 0.000 F
```

Output
symmetry = P4/mmm (123)

=====

--- x ---
TaPtN2F: optimized geometry, PBE-GGA.

Cell and atoms, written as POSCAR:
```
TaPtN2F
1.0
4.093 0.000 0.000
0.000 4.093 0.000
0.000 0.000 3.934
Ta Pt N F
1 1 2 1
direct
0.000 0.000 0.000 Ta
0.500 0.500 0.500 Pt
0.000 0.500 0.000 N
0.500 0.000 0.000 N
0.000 0.000 0.500 F
```

Output
symmetry = P4/mmm (123)

=====

Relative energies in eV/atom: w 1.180; x 0.000

=====

--- w ---
TcPtN2F: optimized geometry, PBE-GGA.

Cell and atoms, written as POSCAR:
```
TcPtN2F
1.0
3.908 0.000 0.000
0.000 3.908 0.000
0.000 0.000 4.018
Tc Pt N F
1 1 2 1
direct
0.000 0.000 0.000 Tc
0.500 0.500 0.500 Pt
0.000 0.500 0.000 N
0.500 0.000 0.000 N
0.000 0.000 0.500 F
```

Output
symmetry = P4/mmm (123)

=====

--- x ---
TcPtN2F: optimized geometry, PBE-GGA.

Cell and atoms, written as POSCAR:
```
TcPtN2F
1.0
3.948 0.000 0.000
0.000 3.948 0.000
0.000 0.000 4.283
Tc Pt N F
1 1 2 1
direct
0.000 0.000 0.000 Tc
0.500 0.500 0.500 Pt
0.000 0.500 0.500 N
0.500 0.000 0.500 N
0.500 0.500 0.000 F
```

Output
symmetry = P4/mmm (123)

=====

Relative energies in eV/atom: w 0.000; x 0.661

=====

--- w ---
TcPtNF2: optimized geometry, PBE-GGA.

Cell and atoms, written as POSCAR:
```
TcPtNF2
1.0
4.629 0.000 0.000
0.000 4.629 0.000
0.000 0.000 3.665
Tc Pt N F
1 1 1 2
direct
0.000 0.000 0.000 Tc
0.500 0.500 0.500 Pt
0.500 0.500 0.000 N
0.000 0.500 0.500 F
0.500 0.000 0.500 F
```

Output
symmetry = P4/mmm (123)

=====

--- x ---
TcPtNF2: optimized geometry, PBE-GGA.

Cell and atoms, written as POSCAR:
```
TcPtNF2
1.0
4.128 0.000 0.000
0.000 4.128 0.000
0.000 0.000 3.844
Tc Pt N F
1 1 1 2
direct
0.000 0.000 0.000 Tc
0.500 0.500 0.500 Pt
0.000 0.000 0.500 N
0.000 0.500 0.000 F
0.500 0.000 0.000 F
```

Output
symmetry = P4/mmm (123)

=====

Relative energies in eV/atom: w 0.399; x 0.000

=====

--- w ---
TePtNF2: optimized geometry, PBE-GGA.

Cell and atoms, written as POSCAR:
```
TePtNF2
1.0
4.771 0.000 0.000
0.000 4.771 0.000
0.000 0.000 3.653
Te Pt N F
1 1 1 2
direct
0.000 0.000 0.000 Te
0.500 0.500 0.500 Pt
0.500 0.500 0.000 N
0.000 0.500 0.500 F
0.500 0.000 0.500 F
```

Output
symmetry = P4/mmm (123)

=====

--- x ---
TePtNF2: optimized geometry, PBE-GGA.

Cell and atoms, written as POSCAR:
```
TePtNF2
1.0
4.296 0.000 0.000
0.000 4.296 0.000
0.000 0.000 4.264
Te Pt N F
1 1 1 2
direct
0.000 0.000 0.000 Te
0.500 0.500 0.500 Pt
0.000 0.000 0.500 N
0.000 0.500 0.000 F
0.500 0.000 0.000 F
```

Output
symmetry = P4/mmm (123)

=====

Relative energies in eV/atom: w 0.000; x 0.245

=====

--- w ---
TlPtNF2: optimized geometry, PBE-GGA.

Cell and atoms, written as POSCAR:
```
TlPtNF2
1.0
4.374 0.000 0.000
0.000 4.374 0.000
0.000 0.000 4.442
Tl Pt N F
1 1 1 2
direct
0.000 0.000 0.000 Tl
0.500 0.500 0.500 Pt
0.000 0.000 0.500 N
0.000 0.500 0.000 F
0.500 0.000 0.000 F
```

Output
symmetry = P4/mmm (123)

=====

--- x ---
TlPtNF2: optimized geometry, PBE-GGA.

Cell and atoms, written as POSCAR:
```
TlPtNF2
1.0
4.785 0.000 0.000
0.000 4.785 0.000
0.000 0.000 3.677
Tl Pt N F
1 1 1 2
direct
0.000 0.000 0.000 Tl
0.500 0.500 0.500 Pt
0.500 0.500 0.000 N
0.000 0.500 0.500 F
0.500 0.000 0.500 F
```

Output
symmetry = P4/mmm (123)

=====

Relative energies in eV/atom: w 1.060; x 0.000